A plane-wave DFT calculation with GGA+U was carried out for a relaxed structure of Cd3MoO.

It has space group Pm-3m (No. 221), with a = 5.713 Å, b = 5.713 Å, c = 5.713 Å, α = 90.00°, β = 90.00° and γ = 90.00°. The asymmetric unit holds Cd at (0.000, 0.000, 0.500), Mo at (0.000, 0.000, 0.000) and O at (0.500, 0.500, 0.500).

As for the spin magnetization: 0.74 μB/atom. The electronic total energy comes out at -0.0672 hartree per atom. The calculation puts the density at 4.0 g/cm3.